Record 1
YReAs2: relaxed, GGA-PBE.

The space group is Amm2 (No. 38) and the conventional cell measures 4.642, 3.560 and 10.665 Å, with angles of 90.00, 90.00 and 90.00 degrees. Symmetry generates all atoms from Y at (0.000, 0.000, 0.000), Re at (0.500, 0.000, 0.217), As at (0.000, 0.000, 0.278) and As at (0.500, 0.000, 0.558).

Its total magnetization is 0.0 μB/cell. For the volume, the calculation gives 22.0 Å³ per atom. As for the density of states at the Fermi level: 3.83 states/eV/cell.

---

Record 2
YReAs2: relaxed, GGA-PBE.

The space group is P4/mmm (No. 123) and the conventional cell measures 3.196, 3.196 and 7.034 Å, with angles of 90.00, 90.00 and 90.00 degrees. Symmetry generates all atoms from Y at (0.000, 0.000, 0.000), Re at (0.000, 0.000, 0.500) and As at (0.500, 0.500, 0.290).

Its total magnetization is 0.0 μB/cell. For the volume, the calculation gives 18.0 Å³ per atom. As for the density of states at the Fermi level: 3.20 states/eV/cell.

---

no.,total energy (eV for the cell shown),ΔE_f (meV per atom),polymorph energy (0 for the lowest one) (meV per atom)
1,-58.664,-280.2,140.8
2,-29.142,-232.7,188.3